PBE ZnTePS, relaxed; calculated density = 4.2 g cm⁻³; raw formation energy = -0.04 eV/atom; E above lowest polymorph = 96 meV/atom; V = 102 Å³/cell
1.0
-1.4035 3.3089 -1.1756
-3.9996 -0.5937 3.1242
1.6067 4.1175 3.5024
Zn Te P S
1 1 1 1
Direct
0.4264 0.1700 0.8147 Zn
0.5232 0.6737 0.6110 Te
0.7584 0.7040 0.1458 P
0.7908 0.1207 0.0812 S